No. 1
Density functional theory data (GGA-PBE) for DySnIrO6 after structural relaxation.

POSCAR file:
```
DySnIrO6
1.0
5.3823 0.0000 0.0000
-2.6911 4.6612 0.0000
0.0000 0.0000 9.0077
Dy Sn Ir O
2 2 2 12
direct
0.3333 0.6667 0.2500
0.6667 0.3333 0.7500
0.0000 0.0000 0.0000
0.0000 0.0000 0.5000
0.3333 0.6667 0.7500
0.6667 0.3333 0.2500
0.0352 0.3536 0.6237
0.0352 0.6816 0.8763
0.3184 0.3536 0.8763
0.3184 0.9648 0.6237
0.3536 0.0352 0.1237
0.3536 0.3184 0.3763
0.6464 0.6816 0.6237
0.6464 0.9648 0.8763
0.6816 0.0352 0.3763
0.6816 0.6464 0.1237
0.9648 0.3184 0.1237
0.9648 0.6464 0.3763
```

Uncorrected formation energy   -1436 kJ/mol of formula units
Fermi-level density of states   13.39 states/eV per cell

---

No. 2
Density functional theory data (GGA-PBE) for SrDyIrO6 after structural relaxation.

POSCAR file:
```
SrDyIrO6
1.0
5.5903 0.0000 0.0000
-2.7951 4.8413 0.0000
0.0000 0.0000 10.3855
Sr Dy Ir O
2 2 2 12
direct
0.0000 0.0000 0.0000
0.0000 0.0000 0.5000
0.3333 0.6667 0.2500
0.6667 0.3333 0.7500
0.3333 0.6667 0.7500
0.6667 0.3333 0.2500
0.0440 0.3884 0.6447
0.0440 0.6556 0.8553
0.3444 0.3884 0.8553
0.3444 0.9560 0.6447
0.3884 0.0440 0.1447
0.3884 0.3444 0.3553
0.6116 0.6556 0.6447
0.6116 0.9560 0.8553
0.6556 0.0440 0.3553
0.6556 0.6116 0.1447
0.9560 0.3444 0.1447
0.9560 0.6116 0.3553
```

Uncorrected formation energy   -1658 kJ/mol of formula units
Fermi-level density of states   10.41 states/eV per cell

---

- Which value of Fermi-level density of states does entry 2 give?
  10.41 states/eV per cell

---

- Which value of Fermi-level density of states does entry 2 give?
  10.41 states/eV per cell

---

Repeat the first record exactly.
Density functional theory data (GGA-PBE) for DySnIrO6 after structural relaxation.

POSCAR file:
```
DySnIrO6
1.0
5.3823 0.0000 0.0000
-2.6911 4.6612 0.0000
0.0000 0.0000 9.0077
Dy Sn Ir O
2 2 2 12
direct
0.3333 0.6667 0.2500
0.6667 0.3333 0.7500
0.0000 0.0000 0.0000
0.0000 0.0000 0.5000
0.3333 0.6667 0.7500
0.6667 0.3333 0.2500
0.0352 0.3536 0.6237
0.0352 0.6816 0.8763
0.3184 0.3536 0.8763
0.3184 0.9648 0.6237
0.3536 0.0352 0.1237
0.3536 0.3184 0.3763
0.6464 0.6816 0.6237
0.6464 0.9648 0.8763
0.6816 0.0352 0.3763
0.6816 0.6464 0.1237
0.9648 0.3184 0.1237
0.9648 0.6464 0.3763
```

Uncorrected formation energy   -1436 kJ/mol of formula units
Fermi-level density of states   13.39 states/eV per cell

---

- What is the uncorrected formation energy in the second record?
  -1658 kJ/mol of formula units